Record 1
DFT (GGA-PBE) results for crystalline SI2O6 at its relaxed geometry.

Lattice parameters (Å, degrees): 8.0197 8.0197 10.5789 60.26 60.26 34.57
Last column: nearest neighbours and their distance in Å.
Fractional positions:
O 0.6211 0.3387 0.6510  1 S 1.50
O 0.9115 0.9070 0.3501  1 S 1.50
O 0.7757 0.6583 0.8471  2 I 2.00-2.01
O 0.2243 0.3417 0.1529  2 I 2.00-2.01
O 0.6583 0.7757 0.3471  2 I 2.00-2.01
O 0.3417 0.2243 0.6529  2 I 2.00-2.01
O 0.0885 0.0930 0.6499  1 S 1.50
O 0.3789 0.6613 0.3490  1 S 1.50
O 0.9070 0.9115 0.8501  1 S 1.50
O 0.6613 0.3789 0.8490  1 S 1.50
O 0.0930 0.0885 0.1499  1 S 1.50
O 0.3387 0.6211 0.1510  1 S 1.50
I 0.4763 0.8461 0.7514  2 O 2.00-2.01
I 0.5237 0.1539 0.2486  2 O 2.00-2.01
I 0.8461 0.4763 0.2514  2 O 2.00-2.01
I 0.1539 0.5237 0.7486  2 O 2.00-2.01
S 0.1811 0.8189 0.2500  4 O 1.50
S 0.8189 0.1811 0.7500  4 O 1.50

Computed properties:
calculated density = 3.8 g/cm3
V = 18.33 Å³/atom
uncorrected formation energy = -0.665 eV/atom
D(E_F) = 0.00 states/eV per cell
space group = No. 15
uncorrected energy = -4.77 eV per atom

---

Record 2
DFT (GGA-PBE) results for crystalline S2I2O11 at its relaxed geometry.

Lattice parameters (Å, degrees): 9.3842 9.3844 10.6993 90.00 90.00 94.60
Last column: nearest neighbours and their distance in Å.
Fractional positions:
O 0.1643 0.1134 0.5163  1 S 1.45
O 0.1663 0.9167 0.7767  1 I 1.77
O 0.6565 0.8044 0.1111  1 S 1.44
O 0.3881 0.1057 0.6368  1 S 1.50
O 0.1688 0.5771 0.6416  1 I 1.76
O 0.6634 0.3741 0.5990  1 S 1.45
O 0.8312 0.4229 0.3584  1 I 1.76
O 0.3357 0.8866 0.0163  1 S 1.45
O 0.8453 0.3212 0.9761  1 S 1.44
O 0.8706 0.8247 0.8945  2 I 1.95-2.05
O 0.8872 0.4223 0.7183  1 S 1.50
O 0.6128 0.5777 0.2183  1 S 1.50
O 0.3872 0.4223 0.7817  1 S 1.50
O 0.6294 0.1753 0.3945  2 I 1.95-2.05
O 0.6688 0.5771 0.8584  1 I 1.76
O 0.3366 0.6259 0.4010  1 S 1.45
O 0.3312 0.4229 0.1416  1 I 1.76
O 0.3112 0.7511 0.2064  2 S 1.65-1.67
O 0.6643 0.1134 0.9837  1 S 1.45
O 0.8112 0.7511 0.2936  2 S 1.65-1.67
O 0.1565 0.8044 0.3889  1 S 1.44
O 0.3435 0.1956 0.8889  1 S 1.44
O 0.6293 0.2951 0.1857  2 I 1.95-2.04
O 0.3453 0.3212 0.5239  1 S 1.44
O 0.6547 0.6788 0.4761  1 S 1.44
O 0.1293 0.2951 0.3143  2 I 1.95-2.04
O 0.6119 0.8943 0.3632  1 S 1.50
O 0.1128 0.5777 0.2817  1 S 1.50
O 0.1634 0.3741 0.9010  1 S 1.45
O 0.6888 0.2489 0.7936  2 S 1.65-1.67
O 0.1119 0.8943 0.1368  1 S 1.50
O 0.8881 0.1057 0.8632  1 S 1.50
O 0.3706 0.8247 0.6055  2 I 1.95-2.05
O 0.8435 0.1956 0.6111  1 S 1.44
O 0.3337 0.0833 0.2767  1 I 1.77
O 0.1547 0.6788 0.0239  1 S 1.44
O 0.6663 0.9167 0.7233  1 I 1.77
O 0.8707 0.7049 0.6857  2 I 1.95-2.04
O 0.3707 0.7049 0.8143  2 I 1.95-2.04
O 0.8357 0.8866 0.4837  1 S 1.45
O 0.8366 0.6259 0.0990  1 S 1.45
O 0.1888 0.2489 0.7064  2 S 1.65-1.67
O 0.1294 0.1753 0.1055  2 I 1.95-2.05
O 0.8337 0.0833 0.2233  1 I 1.77
I 0.1454 0.0858 0.2685  2 O 1.77-1.95
I 0.8557 0.6121 0.8489  2 O 1.76-1.95
I 0.8546 0.9142 0.7315  2 O 1.77-1.95
I 0.3557 0.6121 0.6511  2 O 1.76-1.95
I 0.6454 0.0858 0.2315  2 O 1.77-1.95
I 0.3546 0.9142 0.7685  2 O 1.77-1.95
I 0.6443 0.3879 0.3489  2 O 1.76-1.95
I 0.1443 0.3879 0.1511  2 O 1.76-1.95
S 0.2773 0.1957 0.5836  3 O 1.44-1.50
S 0.2227 0.6870 0.3326  3 O 1.44-1.50
S 0.2227 0.8043 0.0836  3 O 1.44-1.50
S 0.7227 0.8043 0.4164  3 O 1.44-1.50
S 0.2773 0.3130 0.8326  3 O 1.44-1.50
S 0.7773 0.1957 0.9164  3 O 1.44-1.50
S 0.7773 0.3130 0.6674  3 O 1.44-1.50
S 0.7227 0.6870 0.1674  3 O 1.44-1.50

Computed properties:
calculated density = 3.5 g/cm3
V = 15.65 Å³/atom
uncorrected formation energy = -0.714 eV/atom
D(E_F) = 0.00 states/eV per cell
space group = No. 14
uncorrected energy = -5.11 eV per atom

---

Record 3
DFT (GGA-PBE) results for crystalline S2I2O11 at its relaxed geometry.

Lattice parameters (Å, degrees): 4.7304 10.7450 18.6190 90.00 90.00 90.00
Last column: nearest neighbours and their distance in Å.
Fractional positions:
O 0.1746 0.0091 0.9376  1 S 1.45
O 0.3282 0.1334 0.5903  1 S 1.44
O 0.2602 0.2387 0.2031  1 S 1.50
O 0.1863 0.4903 0.1580  1 S 1.44
O 0.8440 0.3878 0.2933  1 I 1.77
O 0.6779 0.2473 0.4541  1 I 1.77
O 0.1779 0.7473 0.0459  1 I 1.77
O 0.7419 0.7076 0.6566  2 I 1.95-2.04
O 0.6718 0.6334 0.4097  1 S 1.44
O 0.8137 0.9903 0.8420  1 S 1.44
O 0.7558 0.8837 0.4552  1 S 1.50
O 0.1718 0.1334 0.0903  1 S 1.44
O 0.6863 0.9903 0.3420  1 S 1.44
O 0.3640 0.8135 0.3746  2 S 1.66-1.67
O 0.1560 0.8878 0.7067  1 I 1.77
O 0.1776 0.6176 0.8110  1 S 1.45
O 0.2442 0.3837 0.5448  1 S 1.50
O 0.3224 0.6176 0.3110  1 S 1.45
O 0.2581 0.2076 0.3434  2 I 1.95-2.04
O 0.1360 0.8135 0.8746  2 S 1.66-1.67
O 0.7398 0.7387 0.7969  1 S 1.50
O 0.7602 0.7387 0.2969  1 S 1.50
O 0.3137 0.4903 0.6580  1 S 1.44
O 0.6776 0.1176 0.6890  1 S 1.45
O 0.2485 0.4136 0.4050  2 I 1.96-2.03
O 0.2398 0.2387 0.7031  1 S 1.50
O 0.2419 0.2076 0.8434  2 I 1.95-2.04
O 0.3254 0.0091 0.4376  1 S 1.45
O 0.6360 0.3135 0.6254  2 S 1.66-1.67
O 0.8640 0.3135 0.1254  2 S 1.66-1.67
O 0.8282 0.6334 0.9097  1 S 1.44
O 0.6560 0.3878 0.7933  1 I 1.77
O 0.8254 0.5091 0.0624  1 S 1.45
O 0.7485 0.9136 0.0950  2 I 1.96-2.03
O 0.3221 0.7473 0.5459  1 I 1.77
O 0.7442 0.8837 0.9552  1 S 1.50
O 0.2558 0.3837 0.0448  1 S 1.50
O 0.8221 0.2473 0.9541  1 I 1.77
O 0.6746 0.5091 0.5624  1 S 1.45
O 0.8224 0.1176 0.1890  1 S 1.45
O 0.7581 0.7076 0.1566  2 I 1.95-2.04
O 0.3440 0.8878 0.2067  1 I 1.77
O 0.2515 0.4136 0.9050  2 I 1.96-2.03
O 0.7515 0.9136 0.5950  2 I 1.96-2.03
I 0.3042 0.2506 0.4496  2 O 1.77-1.96
I 0.2842 0.3711 0.7989  2 O 1.77-1.95
I 0.6958 0.7506 0.5504  2 O 1.77-1.96
I 0.7158 0.8711 0.2011  2 O 1.77-1.95
I 0.8042 0.7506 0.0504  2 O 1.77-1.96
I 0.7842 0.8711 0.7011  2 O 1.77-1.95
I 0.2158 0.3711 0.2989  2 O 1.77-1.95
I 0.1958 0.2506 0.9496  2 O 1.77-1.96
S 0.9542 0.9362 0.9031  3 O 1.44-1.50
S 0.0458 0.4362 0.0969  3 O 1.44-1.50
S 0.4587 0.1877 0.6528  3 O 1.44-1.50
S 0.9587 0.6877 0.8472  3 O 1.44-1.50
S 0.5413 0.6877 0.3472  3 O 1.44-1.50
S 0.4542 0.4362 0.5969  3 O 1.44-1.50
S 0.0413 0.1877 0.1528  3 O 1.44-1.50
S 0.5458 0.9362 0.4031  3 O 1.44-1.50

Computed properties:
calculated density = 3.5 g/cm3
V = 15.77 Å³/atom
uncorrected formation energy = -0.718 eV/atom
D(E_F) = 0.00 states/eV per cell
space group = No. 33
uncorrected energy = -5.11 eV per atom

---

Record 4
DFT (GGA-PBE) results for crystalline SI2O2 at its relaxed geometry.

Lattice parameters (Å, degrees): 5.5633 5.5633 3.4341 90.00 90.00 90.00
Last column: nearest neighbours and their distance in Å.
Fractional positions:
I 0.0000 0.5000 0.0000  2 S 2.78
I 0.5000 0.0000 0.0000  2 S 2.78
O 0.5000 0.5000 0.5000  8 I 3.27, 2 O 3.43
O 0.0000 0.0000 0.5000  2 S 1.72
S 0.0000 0.0000 0.0000  2 O 1.72

Computed properties:
calculated density = 5.0 g/cm3
V = 21.26 Å³/atom
uncorrected formation energy = 0.762 eV/atom
D(E_F) = 5.32 states/eV per cell
space group = No. 123
uncorrected energy = -2.67 eV per atom

---

Record 5
DFT (GGA-PBE) results for crystalline SI2O2 at its relaxed geometry.

Lattice parameters (Å, degrees): 5.2375 5.2375 5.3478 60.68 60.68 90.00
Last column: nearest neighbours and their distance in Å.
Fractional positions:
I 0.7500 0.2500 0.5000  4 O 2.92, 4 S 3.25
I 0.2500 0.7500 0.5000  4 O 2.92, 4 S 3.25
O 0.4178 0.4178 0.1643  1 O 1.27
O 0.5822 0.5822 0.8357  1 O 1.27
S 0.0000 0.0000 0.0000  2 O 3.22, 8 I 3.25

Computed properties:
calculated density = 5.0 g/cm3
V = 21.17 Å³/atom
uncorrected formation energy = 0.619 eV/atom
D(E_F) = 4.88 states/eV per cell
space group = No. 139
uncorrected energy = -2.81 eV per atom

---

Record 6
DFT (GGA-PBE) results for crystalline S2IO at its relaxed geometry.

Lattice parameters (Å, degrees): 7.9207 7.9207 7.9207 29.12 29.12 29.12
Last column: nearest neighbours and their distance in Å.
Fractional positions:
S 0.9290 0.9290 0.9290  1 O 1.61
S 0.0710 0.0710 0.0710  1 O 1.61
O 0.0000 0.0000 0.0000  2 S 1.61
I 0.5000 0.5000 0.5000  6 S 3.16

Computed properties:
calculated density = 3.3 g/cm3
V = 26.02 Å³/atom
uncorrected formation energy = 0.430 eV/atom
D(E_F) = 4.11 states/eV per cell
space group = No. 166
uncorrected energy = -3.26 eV per atom

---

Record 7
DFT (GGA-PBE) results for crystalline SI2O2 at its relaxed geometry.

Lattice parameters (Å, degrees): 8.5587 8.5587 2.8390 90.00 90.00 90.00
Last column: nearest neighbours and their distance in Å.
Fractional positions:
O 0.3707 0.8707 0.0000  2 I 2.13
O 0.1293 0.3707 0.0000  2 I 2.13
O 0.8707 0.6293 0.0000  2 I 2.13
O 0.6293 0.1293 0.0000  2 I 2.13
S 0.5000 0.5000 0.0000  2 S 2.84
S 0.0000 0.0000 0.0000  2 S 2.84
I 0.7603 0.2603 0.5000  2 O 2.13
I 0.2397 0.7397 0.5000  2 O 2.13
I 0.2603 0.2397 0.5000  2 O 2.13
I 0.7397 0.7603 0.5000  2 O 2.13

Computed properties:
calculated density = 5.1 g/cm3
V = 20.80 Å³/atom
uncorrected formation energy = 0.811 eV/atom
D(E_F) = 10.46 states/eV per cell
space group = No. 127
uncorrected energy = -2.62 eV per atom

---

Record 8
DFT (GGA-PBE) results for crystalline SI2O2 at its relaxed geometry.

Lattice parameters (Å, degrees): 4.0211 4.0211 8.5125 90.00 90.00 90.00
Last column: nearest neighbours and their distance in Å.
Fractional positions:
O 0.5000 0.0000 0.0000  2 I 2.01
O 0.0000 0.5000 0.0000  2 I 2.01
S 0.5000 0.5000 0.5000  4 I 2.84
I 0.0000 0.0000 0.0000  4 O 2.01
I 0.0000 0.0000 0.5000  4 S 2.84

Computed properties:
calculated density = 3.8 g/cm3
V = 27.53 Å³/atom
uncorrected formation energy = 0.245 eV/atom
D(E_F) = 4.07 states/eV per cell
space group = No. 123
uncorrected energy = -3.18 eV per atom